Record 1
Density functional theory data (PBE) for crystalline Ti5Sn2Pd12 at its relaxed geometry.

extended XYZ file:
```
19
Lattice="7.437 -2.766 0.000 7.437 2.766 0.000 -2.620 0.000 8.232" Properties=species:S:1:pos:R:3 pbc="T T T"
Ti 0.000 0.000 0.000
Ti 4.335 0.000 1.237
Ti 3.629 0.000 5.335
Ti 8.625 0.000 2.897
Ti 7.919 0.000 6.994
Sn 6.127 1.378 4.116
Sn 6.127 -1.378 4.116
Pd 3.461 1.416 3.216
Pd 2.690 1.381 7.428
Pd -0.667 0.000 6.517
Pd 9.564 1.381 0.804
Pd 8.792 1.416 5.016
Pd 6.877 0.000 1.219
Pd 5.377 0.000 7.013
Pd 3.461 -1.416 3.216
Pd 2.690 -1.381 7.428
Pd 12.921 0.000 1.715
Pd 9.564 -1.381 0.804
Pd 8.792 -1.416 5.016
```

* calculated total energy: -6.1125 eV per atom
* ΔH_f (0 K): -0.334 eV/atom
* Fermi-level density of states: 0.548 states/eV/atom
* spin magnetization: 0.000 μB per atom

Record 2
Density functional theory data (PBE) for crystalline TiSn2Pd at its relaxed geometry.

extended XYZ file:
```
8
Lattice="-2.159 2.159 9.372 2.159 -2.159 9.372 2.159 2.159 -9.372" Properties=species:S:1:pos:R:3 pbc="T T T"
Ti 0.000 0.000 0.000
Ti 0.000 2.159 4.686
Sn 1.080 -1.060 7.029
Sn 1.099 1.080 2.343
Sn 1.080 3.219 -2.343
Sn 1.060 1.080 11.716
Pd 2.159 0.000 4.686
Pd 0.000 0.000 9.372
```

* calculated total energy: -5.3197 eV per atom
* ΔH_f (0 K): -0.046 eV/atom
* Fermi-level density of states: 0.763 states/eV/atom
* spin magnetization: 0.000 μB per atom

Record 3
Density functional theory data (PBE) for crystalline Ti12Sn6Pd at its relaxed geometry.

extended XYZ file:
```
19
Lattice="5.030 2.904 4.035 -5.030 2.904 4.035 0.000 -5.808 4.035" Properties=species:S:1:pos:R:3 pbc="T T T"
Ti -1.354 -4.564 5.142
Ti -4.629 -1.110 6.964
Ti -1.184 -1.126 3.660
Ti -3.276 3.454 5.142
Ti -0.384 1.589 3.660
Ti 1.568 -0.462 3.660
Ti -1.568 0.462 8.446
Ti 0.384 -1.589 8.446
Ti 3.276 -3.454 6.964
Ti 1.184 1.126 8.446
Ti 4.629 1.110 5.142
Ti 1.354 4.564 6.964
Sn -2.709 0.656 5.436
Sn -1.923 -2.018 6.670
Sn 0.786 -2.674 5.436
Sn -0.786 2.674 6.670
Sn 1.923 2.018 5.436
Sn 2.709 -0.656 6.670
Pd 0.000 0.000 6.053
```

* calculated total energy: -6.7206 eV per atom
* ΔH_f (0 K): -0.197 eV/atom
* Fermi-level density of states: 1.126 states/eV/atom
* spin magnetization: 0.000 μB per atom

Record 4
Density functional theory data (PBE) for crystalline TiSn2Pd at its relaxed geometry.

extended XYZ file:
```
4
Lattice="1.591 0.919 9.864 -1.591 0.919 9.864 0.000 -1.837 9.864" Properties=species:S:1:pos:R:3 pbc="T T T"
Ti 0.000 0.000 0.000
Sn 0.000 0.000 2.800
Sn 0.000 0.000 26.791
Pd 0.000 0.000 14.796
```

* calculated total energy: -5.2341 eV per atom
* ΔH_f (0 K): 0.039 eV/atom
* Fermi-level density of states: 0.924 states/eV/atom
* spin magnetization: 0.127 μB per atom

Record 5
Density functional theory data (PBE) for crystalline TiSn2Pd2 at its relaxed geometry.

extended XYZ file:
```
10
Lattice="7.600 0.000 0.000 0.000 7.600 0.000 0.000 0.000 3.282" Properties=species:S:1:pos:R:3 pbc="T T T"
Ti 0.000 0.000 0.000
Ti 3.800 3.800 0.000
Sn 1.307 2.493 1.641
Sn 2.493 6.293 1.641
Sn 5.107 1.307 1.641
Sn 6.293 5.107 1.641
Pd 0.976 4.776 0.000
Pd 2.824 0.976 0.000
Pd 4.776 6.623 0.000
Pd 6.623 2.824 0.000
```

* calculated total energy: -5.5425 eV per atom
* ΔH_f (0 K): -0.285 eV/atom
* energy above the lowest structure with this stoichiometry: 0 meV/atom
* Fermi-level density of states: 0.697 states/eV/atom
* spin magnetization: 0.000 μB per atom

Record 6
Density functional theory data (PBE) for crystalline Ti2SnPd4 at its relaxed geometry.

extended XYZ file:
```
7
Lattice="2.273 1.312 6.451 -2.273 1.312 6.451 0.000 -2.625 6.451" Properties=species:S:1:pos:R:3 pbc="T T T"
Ti 0.000 0.000 4.434
Ti 0.000 0.000 14.918
Sn 0.000 0.000 9.676
Pd 0.000 0.000 1.652
Pd 0.000 0.000 6.967
Pd 0.000 0.000 12.385
Pd 0.000 0.000 17.700
```

* calculated total energy: -6.3120 eV per atom
* ΔH_f (0 K): -0.517 eV/atom
* energy above the lowest structure with this stoichiometry: 0 meV/atom
* Fermi-level density of states: 0.466 states/eV/atom
* spin magnetization: 0.000 μB per atom

Record 7
Density functional theory data (PBE) for crystalline Ti5SnPd6 at its relaxed geometry.

extended XYZ file:
```
12
Lattice="-2.032 3.864 6.142 2.032 -3.864 6.142 2.032 3.864 -6.142" Properties=species:S:1:pos:R:3 pbc="T T T"
Ti 0.000 0.000 0.000
Ti 2.032 0.000 1.976
Ti 0.000 0.000 3.964
Ti 0.000 0.000 8.320
Ti 0.000 3.864 4.166
Sn 0.000 3.864 0.000
Pd 2.032 -1.929 4.056
Pd 2.032 1.902 0.000
Pd 0.000 1.934 2.086
Pd 2.032 1.929 4.056
Pd 0.000 1.962 6.142
Pd 0.000 5.793 2.086
```

* calculated total energy: -6.7530 eV per atom
* ΔH_f (0 K): -0.533 eV/atom
* Fermi-level density of states: 1.140 states/eV/atom
* spin magnetization: 0.235 μB per atom

Record 8
Density functional theory data (PBE) for crystalline Ti2SnPd9 at its relaxed geometry.

extended XYZ file:
```
12
Lattice="3.963 0.000 0.000 0.000 3.963 0.000 0.000 0.000 11.903" Properties=species:S:1:pos:R:3 pbc="T T T"
Ti 0.000 0.000 1.956
Ti 0.000 0.000 9.946
Sn 0.000 0.000 5.951
Pd 0.000 1.982 0.000
Pd 0.000 1.982 3.854
Pd 0.000 1.982 8.049
Pd 1.982 0.000 0.000
Pd 1.982 0.000 3.854
Pd 1.982 0.000 8.049
Pd 1.982 1.982 1.938
Pd 1.982 1.982 5.951
Pd 1.982 1.982 9.964
```

* calculated total energy: -6.1417 eV per atom
* ΔH_f (0 K): -0.598 eV/atom
* Fermi-level density of states: 0.188 states/eV/atom
* spin magnetization: 0.000 μB per atom

Record 9
Density functional theory data (PBE) for crystalline TiVSnPd at its relaxed geometry.

extended XYZ file:
```
4
Lattice="0.000 3.217 3.217 3.217 0.000 3.217 3.217 3.217 0.000" Properties=species:S:1:pos:R:3 pbc="T T T"
Ti 0.000 0.000 0.000
V 1.609 1.609 1.609
Sn 3.217 3.217 3.217
Pd 4.826 4.826 4.826
```

* calculated total energy: -6.7244 eV per atom
* ΔH_f (0 K): -0.172 eV/atom
* Fermi-level density of states: 1.623 states/eV/atom
* spin magnetization: 0.351 μB per atom

Record 10
Density functional theory data (PBE) for crystalline TiSnPdW2 at its relaxed geometry.

extended XYZ file:
```
5
Lattice="4.926 0.000 0.000 0.000 4.926 0.000 0.000 0.000 4.709" Properties=species:S:1:pos:R:3 pbc="T T T"
Ti 0.000 0.000 0.000
Sn 2.463 2.463 2.354
Pd 2.463 2.463 0.000
W 0.000 2.463 2.354
W 2.463 0.000 2.354
```

* calculated total energy: -6.6476 eV per atom
* ΔH_f (0 K): 1.952 eV/atom
* Fermi-level density of states: 1.135 states/eV/atom
* spin magnetization: 0.000 μB per atom

Record 11
Density functional theory data (PBE) for crystalline ZrTi2SnPd at its relaxed geometry.

extended XYZ file:
```
5
Lattice="4.739 0.000 0.000 0.000 4.739 0.000 0.000 0.000 5.392" Properties=species:S:1:pos:R:3 pbc="T T T"
Zr 0.000 0.000 0.000
Ti 0.000 2.369 0.000
Ti 2.369 0.000 0.000
Sn 0.000 0.000 2.696
Pd 2.369 2.369 2.696
```

* calculated total energy: -5.7109 eV per atom
* ΔH_f (0 K): 0.996 eV/atom
* Fermi-level density of states: 0.911 states/eV/atom
* spin magnetization: 0.000 μB per atom

Record 12
Density functional theory data (PBE) for crystalline Zr2TiSnPd at its relaxed geometry.

extended XYZ file:
```
5
Lattice="5.077 0.000 0.000 0.000 5.077 0.000 0.000 0.000 4.937" Properties=species:S:1:pos:R:3 pbc="T T T"
Zr 0.000 2.539 0.000
Zr 2.539 0.000 0.000
Ti 0.000 0.000 2.468
Sn 2.539 2.539 2.468
Pd 2.539 2.539 0.000
```

* calculated total energy: -6.3653 eV per atom
* ΔH_f (0 K): 0.472 eV/atom
* Fermi-level density of states: 1.155 states/eV/atom
* spin magnetization: 0.544 μB per atom

Record 13
Density functional theory data (PBE) for crystalline TlSn3Pd at its relaxed geometry.

extended XYZ file:
```
5
Lattice="5.278 0.000 0.000 0.000 5.278 0.000 0.000 0.000 5.278" Properties=species:S:1:pos:R:3 pbc="T T T"
Tl 0.000 0.000 0.000
Sn 0.000 2.639 2.639
Sn 2.639 0.000 2.639
Sn 2.639 2.639 0.000
Pd 2.639 2.639 2.639
```

* calculated total energy: -3.8766 eV per atom
* ΔH_f (0 K): 0.037 eV/atom
* energy above the lowest structure with this stoichiometry: 0 meV/atom
* Fermi-level density of states: 0.895 states/eV/atom
* spin magnetization: 0.000 μB per atom

Record 14
Density functional theory data (PBE) for crystalline Tl2SnPd2 at its relaxed geometry.

extended XYZ file:
```
5
Lattice="-2.071 2.071 6.723 2.071 -2.071 6.723 2.071 2.071 -6.723" Properties=species:S:1:pos:R:3 pbc="T T T"
Tl 2.071 0.000 3.362
Tl 0.000 2.071 3.362
Sn 0.000 0.000 0.000
Pd 0.000 0.000 5.386
Pd 0.000 0.000 8.060
```

* calculated total energy: -3.7608 eV per atom
* ΔH_f (0 K): 0.063 eV/atom
* energy above the lowest structure with this stoichiometry: 178 meV/atom
* Fermi-level density of states: 0.371 states/eV/atom
* spin magnetization: 0.000 μB per atom

Record 15
Density functional theory data (PBE) for crystalline Tl2SnPd2 at its relaxed geometry.

extended XYZ file:
```
5
Lattice="-1.921 1.921 8.223 1.921 -1.921 8.223 1.921 1.921 -8.223" Properties=species:S:1:pos:R:3 pbc="T T T"
Tl 0.000 0.000 1.997
Tl 0.000 0.000 14.448
Sn 0.000 0.000 8.223
Pd 1.921 0.000 4.111
Pd 0.000 1.921 4.111
```

* calculated total energy: -3.7610 eV per atom
* ΔH_f (0 K): 0.063 eV/atom
* energy above the lowest structure with this stoichiometry: 178 meV/atom
* Fermi-level density of states: 0.570 states/eV/atom
* spin magnetization: 0.000 μB per atom

Record 16
Density functional theory data (PBE) for crystalline TlSn2Pd6 at its relaxed geometry.

extended XYZ file:
```
18
Lattice="4.851 0.000 0.000 0.000 8.096 0.000 -2.830 0.000 8.121" Properties=species:S:1:pos:R:3 pbc="T T T"
Tl 0.000 0.000 0.000
Tl -1.415 4.048 4.060
Sn -1.042 1.333 5.826
Sn 0.373 2.714 1.765
Sn 1.648 5.381 6.356
Sn 3.063 6.762 2.295
Pd 0.278 5.399 0.901
Pd -1.137 6.744 4.961
Pd 0.715 8.091 2.662
Pd -0.700 4.052 6.723
Pd 1.071 5.470 3.694
Pd -0.344 6.674 7.754
Pd 2.365 1.422 0.367
Pd 0.950 2.626 4.427
Pd 1.306 0.004 5.458
Pd 2.721 4.044 1.398
Pd 3.158 1.351 3.160
Pd 1.744 2.696 7.220
```

* calculated total energy: -4.9508 eV per atom
* ΔH_f (0 K): -0.336 eV/atom
* Fermi-level density of states: 0.335 states/eV/atom
* spin magnetization: 0.000 μB per atom

Record 17
Density functional theory data (PBE) for crystalline TlSn2Pd at its relaxed geometry.

extended XYZ file:
```
4
Lattice="2.247 1.297 6.188 -2.247 1.297 6.188 0.000 -2.595 6.188" Properties=species:S:1:pos:R:3 pbc="T T T"
Tl 0.000 0.000 0.000
Sn 0.000 0.000 10.304
Sn 0.000 0.000 14.541
Pd 0.000 0.000 3.164
```

* calculated total energy: -4.0792 eV per atom
* ΔH_f (0 K): -0.188 eV/atom
* energy above the lowest structure with this stoichiometry: 41 meV/atom
* Fermi-level density of states: 0.544 states/eV/atom
* spin magnetization: 0.000 μB per atom

Record 18
Density functional theory data (PBE) for crystalline TlSn2Pd at its relaxed geometry.

extended XYZ file:
```
8
Lattice="-2.460 2.460 8.998 2.460 -2.460 8.998 2.460 2.460 -8.998" Properties=species:S:1:pos:R:3 pbc="T T T"
Tl 0.000 0.000 0.000
Tl 0.000 2.460 4.499
Sn 1.230 -0.881 6.748
Sn 1.579 1.230 2.249
Sn 1.230 3.341 -2.249
Sn 0.881 1.230 11.247
Pd 2.460 0.000 4.499
Pd 0.000 0.000 8.998
```

* calculated total energy: -3.8747 eV per atom
* ΔH_f (0 K): 0.016 eV/atom
* energy above the lowest structure with this stoichiometry: 246 meV/atom
* Fermi-level density of states: 0.860 states/eV/atom
* spin magnetization: 0.000 μB per atom

Record 19
Density functional theory data (PBE) for crystalline Tl3SnPd6 at its relaxed geometry.

extended XYZ file:
```
20
Lattice="5.415 -5.574 0.000 5.415 5.574 0.000 0.000 0.000 6.782" Properties=species:S:1:pos:R:3 pbc="T T T"
Tl 5.415 4.803 3.391
Tl 3.091 0.625 2.247
Tl 3.091 -0.625 5.638
Tl 7.739 0.625 2.247
Tl 7.739 -0.625 5.638
Tl 5.415 -4.803 0.000
Sn 5.415 2.140 6.524
Sn 5.415 -2.140 3.133
Pd 1.456 1.391 4.347
Pd 3.787 2.759 4.564
Pd 1.456 -1.391 0.955
Pd 5.415 2.197 2.361
Pd 7.043 2.759 4.564
Pd 5.415 0.352 4.386
Pd 5.415 -0.352 0.995
Pd 3.787 -2.759 1.172
Pd 5.415 -2.197 5.752
Pd 9.374 1.391 4.347
Pd 7.043 -2.759 1.172
Pd 9.374 -1.391 0.955
```

* calculated total energy: -4.3887 eV per atom
* ΔH_f (0 K): -0.163 eV/atom
* Fermi-level density of states: 0.543 states/eV/atom
* spin magnetization: 0.000 μB per atom

Record 20
Density functional theory data (PBE) for crystalline TlSn4Pd15 at its relaxed geometry.

extended XYZ file:
```
20
Lattice="4.050 0.000 0.000 0.000 4.050 0.000 0.000 0.000 20.237" Properties=species:S:1:pos:R:3 pbc="T T T"
Tl 0.000 0.000 0.000
Sn 0.000 0.000 4.051
Sn 0.000 0.000 8.099
Sn 0.000 0.000 12.138
Sn 0.000 0.000 16.186
Pd 0.000 2.025 2.095
Pd 0.000 2.025 6.096
Pd 0.000 2.025 10.119
Pd 0.000 2.025 14.141
Pd 0.000 2.025 18.142
Pd 2.025 0.000 2.095
Pd 2.025 0.000 6.096
Pd 2.025 0.000 10.119
Pd 2.025 0.000 14.141
Pd 2.025 0.000 18.142
Pd 2.025 2.025 0.000
Pd 2.025 2.025 4.103
Pd 2.025 2.025 8.111
Pd 2.025 2.025 12.126
Pd 2.025 2.025 16.134
```

* calculated total energy: -5.2579 eV per atom
* ΔH_f (0 K): -0.444 eV/atom
* Fermi-level density of states: 0.489 states/eV/atom
* spin magnetization: 0.000 μB per atom